Record 1
Computed, not measured: crystalline Ac2TlTeO6 at its relaxed geometry at the PBE level of DFT.

Results
calculated volume = 19.0 Å³ per atom
energy relative to the elements, uncorrected = -2.0861 eV/atom

a b c (Å): 6.647 6.647 6.647
angles (deg): 56.25 56.25 56.25
Positions (direct):
1 Ac 0.000 0.000 0.000
2 Ac 0.483 0.483 0.483
3 Tl 0.260 0.260 0.260
4 Te 0.795 0.795 0.795
5 O 0.032 0.439 0.729
6 O 0.141 0.851 0.635
7 O 0.439 0.729 0.032
8 O 0.635 0.141 0.851
9 O 0.729 0.032 0.439
10 O 0.851 0.635 0.141


Record 2
Computed, not measured: crystalline AcTl2TeO6 at its relaxed geometry at the PBE level of DFT.

Results
calculated volume = 19.4 Å³ per atom
energy relative to the elements, uncorrected = -1.4294 eV/atom

a b c (Å): 12.366 12.366 12.366
angles (deg): 28.83 28.83 28.83
Positions (direct):
1 Ac 0.097 0.097 0.097
2 Ac 0.903 0.903 0.903
3 Tl 0.197 0.197 0.197
4 Tl 0.333 0.333 0.333
5 Tl 0.667 0.667 0.667
6 Tl 0.803 0.803 0.803
7 Te 0.000 0.000 0.000
8 Te 0.500 0.500 0.500
9 O 0.112 0.112 0.675
10 O 0.112 0.675 0.112
11 O 0.227 0.684 0.684
12 O 0.316 0.316 0.773
13 O 0.316 0.773 0.316
14 O 0.325 0.888 0.888
15 O 0.675 0.112 0.112
16 O 0.684 0.227 0.684
17 O 0.684 0.684 0.227
18 O 0.773 0.316 0.316
19 O 0.888 0.325 0.888
20 O 0.888 0.888 0.325